Record 1
A relaxed Dy5Zr3Ni16As12 crystal, computed with GGA-PBE.

Cell lengths 12.7365, 12.7365, 3.9161 Å; angles 90.00, 90.00, 120.00 degrees
Space group P-62m (No. 189)
Symmetry-distinct sites (fractional):
Dy  0.0000  0.1847  0.0000 (multiplicity 3)
Dy  0.3333  0.6667  0.5000 (multiplicity 2)
Zr  0.0000  0.5640  0.5000 (multiplicity 3)
Ni  0.0000  0.0000  0.5000 (multiplicity 1)
Ni  0.0000  0.7243  0.0000 (multiplicity 3)
Ni  0.1208  0.4832  0.0000 (multiplicity 6)
Ni  0.1842  0.8070  0.5000 (multiplicity 6)
As  0.0000  0.3562  0.5000 (multiplicity 3)
As  0.0000  0.8217  0.5000 (multiplicity 3)
As  0.1728  0.6935  0.0000 (multiplicity 6)

Values from the calculation:
- energy (eV per cell) = -223.965

---

Record 2
A relaxed DyAs2O crystal, computed with GGA-PBE.

Cell lengths 4.2186, 6.0672, 6.4594 Å; angles 90.00, 90.00, 90.00 degrees
Space group Pmc2_1 (No. 26)
Symmetry-distinct sites (fractional):
Dy  0.0000  0.2431  0.0000 (multiplicity 2)
As  0.0000  0.2736  0.4599 (multiplicity 2)
As  0.5000  0.1243  0.6172 (multiplicity 2)
O  0.5000  0.2716  0.8731 (multiplicity 2)

Values from the calculation:
- energy (eV per cell) = -47.280
- energy relative to the lowest polymorph listed for this composition (meV/atom) = 238.8

---

Record 3
A relaxed Dy4AsO3 crystal, computed with GGA-PBE.

Cell lengths 5.1884, 5.1884, 9.9994 Å; angles 90.00, 90.00, 90.00 degrees
Space group I4/mmm (No. 139)
Symmetry-distinct sites (fractional):
Dy  0.0000  0.0000  0.2321 (multiplicity 4)
Dy  0.0000  0.5000  0.0000 (multiplicity 4)
As  0.0000  0.0000  0.5000 (multiplicity 2)
O  0.0000  0.0000  0.0000 (multiplicity 2)
O  0.0000  0.5000  0.2500 (multiplicity 4)

Values from the calculation:
- energy (eV per cell) = -111.684

---

Record 4
A relaxed Dy2AsO4 crystal, computed with GGA-PBE.

Cell lengths 9.5468, 9.5468, 9.5468 Å; angles 90.00, 90.00, 90.00 degrees
Space group Fd-3m (No. 227, origin choice 2)
Symmetry-distinct sites (fractional):
Dy  0.0000  0.0000  0.0000 (multiplicity 16)
As  0.1250  0.1250  0.6250 (multiplicity 8)
O  0.0120  0.0120  0.2380 (multiplicity 32)

Values from the calculation:
- energy (eV per cell) = -401.696

---

Record 5
A relaxed DyAs2O crystal, computed with GGA-PBE.

Cell lengths 3.8105, 3.8105, 10.6118 Å; angles 90.00, 90.00, 90.00 degrees
Space group P4/nmm (No. 129, origin choice 2)
Symmetry-distinct sites (fractional):
Dy  0.2500  0.2500  0.1077 (multiplicity 2)
As  0.2500  0.2500  0.7154 (multiplicity 2)
As  0.2500  0.7500  0.5000 (multiplicity 2)
O  0.2500  0.7500  0.0000 (multiplicity 2)

Values from the calculation:
- energy (eV per cell) = -49.190
- energy relative to the lowest polymorph listed for this composition (meV/atom) = 0.0

---

Record 6
A relaxed DyAs2O crystal, computed with GGA-PBE.

Cell lengths 3.8804, 3.8804, 10.1001 Å; angles 90.00, 90.00, 90.00 degrees
Space group P4/nmm (No. 129, origin choice 2)
Symmetry-distinct sites (fractional):
Dy  0.2500  0.2500  0.1102 (multiplicity 2)
As  0.2500  0.2500  0.7169 (multiplicity 2)
As  0.2500  0.7500  0.5000 (multiplicity 2)
O  0.2500  0.7500  0.0000 (multiplicity 2)

Values from the calculation:
- energy (eV per cell) = -49.114
- energy relative to the lowest polymorph listed for this composition (meV/atom) = 9.6

---

Record 7
A relaxed DyAs2O crystal, computed with GGA-PBE.

Cell lengths 4.6778, 4.6778, 7.1720 Å; angles 90.00, 90.00, 90.00 degrees
Space group P4/nmm (No. 129, origin choice 2)
Symmetry-distinct sites (fractional):
Dy  0.2500  0.7500  0.0000 (multiplicity 2)
As  0.2500  0.2500  0.2055 (multiplicity 2)
As  0.2500  0.2500  0.5529 (multiplicity 2)
O  0.2500  0.7500  0.5000 (multiplicity 2)

Values from the calculation:
- energy (eV per cell) = -40.932
- energy relative to the lowest polymorph listed for this composition (meV/atom) = 1032.3

---

Record 8
A relaxed DyAsPO crystal, computed with GGA-PBE.

Cell lengths 3.2540, 6.8431, 6.3427 Å; angles 90.00, 90.00, 90.00 degrees
Space group Pmc2_1 (No. 26)
Symmetry-distinct sites (fractional):
Dy  0.0000  0.0592  0.0000 (multiplicity 2)
As  0.5000  0.4224  0.8791 (multiplicity 2)
P  0.0000  0.3693  0.6100 (multiplicity 2)
O  0.5000  0.0378  0.2595 (multiplicity 2)

Values from the calculation:
- energy (eV per cell) = -50.863
- energy relative to the lowest polymorph listed for this composition (meV/atom) = 0.0

---

Record 9
A relaxed DyAsPO crystal, computed with GGA-PBE.

Cell lengths 4.2711, 4.2711, 7.8257 Å; angles 90.00, 90.00, 90.00 degrees
Space group P4/nmm (No. 129, origin choice 2)
Symmetry-distinct sites (fractional):
Dy  0.2500  0.2500  0.1122 (multiplicity 2)
As  0.2500  0.7500  0.5000 (multiplicity 2)
P  0.2500  0.2500  0.6658 (multiplicity 2)
O  0.2500  0.7500  0.0000 (multiplicity 2)

Values from the calculation:
- energy (eV per cell) = -49.792
- energy relative to the lowest polymorph listed for this composition (meV/atom) = 133.9

---

Record 10
A relaxed DyAsPO crystal, computed with GGA-PBE.

Cell lengths 4.9871, 6.7637, 6.1830 Å; angles 90.00, 90.00, 90.00 degrees
Space group Pmc2_1 (No. 26)
Symmetry-distinct sites (fractional):
Dy  0.0000  0.1758  0.0000 (multiplicity 2)
As  0.5000  0.3147  0.5721 (multiplicity 2)
P  0.5000  0.3716  0.9393 (multiplicity 2)
O  0.0000  0.0664  0.3056 (multiplicity 2)

Values from the calculation:
- energy (eV per cell) = -49.538
- energy relative to the lowest polymorph listed for this composition (meV/atom) = 165.6

---

Record 11
A relaxed DyAsPO crystal, computed with GGA-PBE.

Cell lengths 5.6101, 5.6101, 4.6869 Å; angles 90.00, 90.00, 90.00 degrees
Space group P4/nmm (No. 129, origin choice 2)
Symmetry-distinct sites (fractional):
Dy  0.2500  0.7500  0.0000 (multiplicity 2)
As  0.2500  0.2500  0.4972 (multiplicity 2)
P  0.2500  0.2500  0.9969 (multiplicity 2)
O  0.2500  0.7500  0.5000 (multiplicity 2)

Values from the calculation:
- energy (eV per cell) = -46.721
- energy relative to the lowest polymorph listed for this composition (meV/atom) = 517.8

---

Record 12
A relaxed PmDyAsO crystal, computed with GGA-PBE.

Cell lengths 4.1727, 7.9210, 5.7663 Å; angles 90.00, 90.00, 90.00 degrees
Space group Pmc2_1 (No. 26)
Symmetry-distinct sites (fractional):
Pm  0.0000  0.1196  0.0000 (multiplicity 2)
Dy  0.5000  0.2904  0.4497 (multiplicity 2)
As  0.5000  0.3529  0.9450 (multiplicity 2)
O  0.0000  0.1772  0.4037 (multiplicity 2)

Values from the calculation:
- energy (eV per cell) = -53.319
- energy relative to the lowest polymorph listed for this composition (meV/atom) = 44.3

---

Record 13
A relaxed PmDyAsO crystal, computed with GGA-PBE.

Cell lengths 4.2786, 7.5922, 6.0888 Å; angles 90.00, 90.00, 90.00 degrees
Space group Pmc2_1 (No. 26)
Symmetry-distinct sites (fractional):
Pm  0.0000  0.2037  0.0000 (multiplicity 2)
Dy  0.5000  0.3925  0.5808 (multiplicity 2)
As  0.0000  0.1743  0.4927 (multiplicity 2)
O  0.5000  0.3351  0.9377 (multiplicity 2)

Values from the calculation:
- energy (eV per cell) = -53.674
- energy relative to the lowest polymorph listed for this composition (meV/atom) = 0.0

---

Record 14
A relaxed PmDyAsO crystal, computed with GGA-PBE.

Cell lengths 4.3900, 4.3900, 9.0030 Å; angles 90.00, 90.00, 90.00 degrees
Space group P4/nmm (No. 129, origin choice 2)
Symmetry-distinct sites (fractional):
Pm  0.2500  0.2500  0.1074 (multiplicity 2)
Dy  0.2500  0.7500  0.5000 (multiplicity 2)
As  0.2500  0.2500  0.6999 (multiplicity 2)
O  0.2500  0.7500  0.0000 (multiplicity 2)

Values from the calculation:
- energy (eV per cell) = -53.129
- energy relative to the lowest polymorph listed for this composition (meV/atom) = 68.1

---

Record 15
A relaxed PmDyAsO crystal, computed with GGA-PBE.

Cell lengths 4.3030, 4.3030, 9.1266 Å; angles 90.00, 90.00, 90.00 degrees
Space group P4/nmm (No. 129, origin choice 2)
Symmetry-distinct sites (fractional):
Pm  0.2500  0.7500  0.0000 (multiplicity 2)
Dy  0.2500  0.2500  0.4023 (multiplicity 2)
As  0.2500  0.2500  0.7833 (multiplicity 2)
O  0.2500  0.7500  0.5000 (multiplicity 2)

Values from the calculation:
- energy (eV per cell) = -52.472
- energy relative to the lowest polymorph listed for this composition (meV/atom) = 150.2

---

Record 16
A relaxed PrDyZn2As2O2 crystal, computed with GGA-PBE.

Cell lengths 4.0065, 4.0065, 8.9719 Å; angles 90.00, 90.00, 90.00 degrees
Space group P4mm (No. 99)
Symmetry-distinct sites (fractional):
Pr  0.0000  0.0000  0.0000 (multiplicity 1)
Dy  0.5000  0.5000  0.7445 (multiplicity 1)
Zn  0.0000  0.5000  0.3682 (multiplicity 2)
As  0.0000  0.0000  0.5459 (multiplicity 1)
As  0.5000  0.5000  0.1875 (multiplicity 1)
O  0.0000  0.5000  0.8590 (multiplicity 2)

Values from the calculation:
- energy (eV per cell) = -45.529

---

Record 17
A relaxed DyAsPtO crystal, computed with GGA-PBE.

Cell lengths 3.5595, 7.7159, 5.5824 Å; angles 90.00, 90.00, 90.00 degrees
Space group Pmc2_1 (No. 26)
Symmetry-distinct sites (fractional):
Dy  0.0000  0.1968  0.0000 (multiplicity 2)
As  0.0000  0.4238  0.4906 (multiplicity 2)
Pt  0.5000  0.2156  0.5358 (multiplicity 2)
O  0.5000  0.0635  0.0924 (multiplicity 2)

Values from the calculation:
- energy (eV per cell) = -51.427

---

Record 18
A relaxed DyAsPtO crystal, computed with GGA-PBE.

Cell lengths 4.6694, 4.1912, 7.0883 Å; angles 90.00, 90.00, 90.00 degrees
Space group Pmc2_1 (No. 26)
Symmetry-distinct sites (fractional):
Dy  0.0000  0.2323  0.0000 (multiplicity 2)
As  0.5000  0.2071  0.6701 (multiplicity 2)
Pt  0.5000  0.2966  0.3348 (multiplicity 2)
O  0.0000  0.2788  0.3345 (multiplicity 2)

Values from the calculation:
- energy (eV per cell) = -51.499

---

Record 19
A relaxed RbDyAsO crystal, computed with GGA-PBE.

Cell lengths 5.9016, 5.9016, 5.2805 Å; angles 90.00, 90.00, 90.00 degrees
Space group P4/nmm (No. 129, origin choice 2)
Symmetry-distinct sites (fractional):
Rb  0.2500  0.2500  0.0007 (multiplicity 2)
Dy  0.2500  0.7500  0.5000 (multiplicity 2)
As  0.2500  0.2500  0.5007 (multiplicity 2)
O  0.2500  0.7500  0.0000 (multiplicity 2)

Values from the calculation:
- energy (eV per cell) = -37.449
- energy relative to the lowest polymorph listed for this composition (meV/atom) = 676.1

---

Record 20
A relaxed RbDyAsO crystal, computed with GGA-PBE.

Cell lengths 3.4705, 8.0859, 7.9403 Å; angles 90.00, 90.00, 90.00 degrees
Space group Pmc2_1 (No. 26)
Symmetry-distinct sites (fractional):
Rb  0.0000  0.0484  0.0000 (multiplicity 2)
Dy  0.5000  0.3753  0.3548 (multiplicity 2)
As  0.5000  0.2991  0.7113 (multiplicity 2)
O  0.0000  0.2487  0.2817 (multiplicity 2)

Values from the calculation:
- energy (eV per cell) = -42.857
- energy relative to the lowest polymorph listed for this composition (meV/atom) = 0.0

---

Record 21
A relaxed RbDyAsO crystal, computed with GGA-PBE.

Cell lengths 4.1382, 4.1382, 10.9090 Å; angles 90.00, 90.00, 90.00 degrees
Space group P4/nmm (No. 129, origin choice 2)
Symmetry-distinct sites (fractional):
Rb  0.2500  0.7500  0.0000 (multiplicity 2)
Dy  0.2500  0.2500  0.4109 (multiplicity 2)
As  0.2500  0.2500  0.7611 (multiplicity 2)
O  0.2500  0.7500  0.5000 (multiplicity 2)

Values from the calculation:
- energy (eV per cell) = -41.309
- energy relative to the lowest polymorph listed for this composition (meV/atom) = 193.5

---

Record 22
A relaxed RbDyAsO crystal, computed with GGA-PBE.

Cell lengths 5.0363, 7.7619, 6.7150 Å; angles 90.00, 90.00, 90.00 degrees
Space group Pmc2_1 (No. 26)
Symmetry-distinct sites (fractional):
Rb  0.0000  0.2474  0.0000 (multiplicity 2)
Dy  0.5000  0.3589  0.5605 (multiplicity 2)
As  0.0000  0.1912  0.4938 (multiplicity 2)
O  0.5000  0.4324  0.8631 (multiplicity 2)

Values from the calculation:
- energy (eV per cell) = -42.109
- energy relative to the lowest polymorph listed for this composition (meV/atom) = 93.6

---

Record 23
A relaxed DySbAsO crystal, computed with GGA-PBE.

Cell lengths 4.0713, 4.0713, 10.2418 Å; angles 90.00, 90.00, 90.00 degrees
Space group P4/nmm (No. 129, origin choice 2)
Symmetry-distinct sites (fractional):
Dy  0.2500  0.2500  0.0994 (multiplicity 2)
Sb  0.2500  0.7500  0.5000 (multiplicity 2)
As  0.2500  0.2500  0.7318 (multiplicity 2)
O  0.2500  0.7500  0.0000 (multiplicity 2)

Values from the calculation:
- energy (eV per cell) = -47.851
- energy relative to the lowest polymorph listed for this composition (meV/atom) = 0.0